## P
Computed, not measured: an optimized crystal structure of YCrSe3 at the GGA-PBE level of DFT.

Results
Crystal system: cubic
V, Å³/atom: 32.29
Fermi-level density of states, states/eV/cell: 5.9

Structure (CIF):
```
data_YCrSe3
_cell_length_a 5.4451
_cell_length_b 5.4451
_cell_length_c 5.4451
_cell_angle_alpha 90.00
_cell_angle_beta 90.00
_cell_angle_gamma 90.00
_symmetry_space_group_name_H-M 'P m -3 m'
_symmetry_Int_Tables_number 221
_symmetry_space_group_name_Hall '-P 4 2 3'
loop_
_atom_site_label
_atom_site_type_symbol
_atom_site_fract_x
_atom_site_fract_y
_atom_site_fract_z
_atom_site_occupancy
Y1 Y 0.0000 0.0000 0.0000 1
Cr1 Cr 0.5000 0.5000 0.5000 1
Se1 Se 0.0000 0.0000 0.5000 1
```

---

## Q
Computed, not measured: an optimized crystal structure of YCrSe3 at the GGA-PBE level of DFT.

Results
Crystal system: cubic
V, Å³/atom: 23.06
Fermi-level density of states, states/eV/cell: 1.5

Structure (CIF):
```
data_YCrSe3
_cell_length_a 4.8669
_cell_length_b 4.8669
_cell_length_c 4.8669
_cell_angle_alpha 90.00
_cell_angle_beta 90.00
_cell_angle_gamma 90.00
_symmetry_space_group_name_H-M 'P m -3 m'
_symmetry_Int_Tables_number 221
_symmetry_space_group_name_Hall '-P 4 2 3'
loop_
_atom_site_label
_atom_site_type_symbol
_atom_site_fract_x
_atom_site_fract_y
_atom_site_fract_z
_atom_site_occupancy
Y1 Y 0.0000 0.0000 0.0000 1
Cr1 Cr 0.5000 0.5000 0.5000 1
Se1 Se 0.0000 0.5000 0.5000 1
```

---

Most stable one: Q, least stable one: P.

---

## P
Computed, not measured: an optimized crystal structure of LiTe2 at the GGA-PBE level of DFT.

Results
Crystal system: trigonal
V, Å³/atom: 27.81
Fermi-level density of states, states/eV/cell: 1.8

Structure (CIF):
```
data_LiTe2
_cell_length_a 3.3146
_cell_length_b 3.3146
_cell_length_c 8.7685
_cell_angle_alpha 90.00
_cell_angle_beta 90.00
_cell_angle_gamma 120.00
_symmetry_space_group_name_H-M 'P -3 m 1'
_symmetry_Int_Tables_number 164
_symmetry_space_group_name_Hall '-P 3 2"'
loop_
_atom_site_label
_atom_site_type_symbol
_atom_site_fract_x
_atom_site_fract_y
_atom_site_fract_z
_atom_site_occupancy
Li1 Li 0.0000 0.0000 0.0000 1
Te1 Te 0.3333 0.6667 0.2552 1
```

---

## Q
Computed, not measured: an optimized crystal structure of LiTe2 at the GGA-PBE level of DFT.

Results
Crystal system: monoclinic
V, Å³/atom: 28.29
Fermi-level density of states, states/eV/cell: 2.7

Structure (CIF):
```
data_LiTe2
_cell_length_a 10.0375
_cell_length_b 3.9933
_cell_length_c 8.5110
_cell_angle_alpha 90.00
_cell_angle_beta 95.63
_cell_angle_gamma 90.00
_symmetry_space_group_name_H-M 'C 1 2/m 1'
_symmetry_Int_Tables_number 12
loop_
_symmetry_equiv_pos_as_xyz
'x,y,z'
'-x,-y,-z'
'-x,y,-z'
'x,-y,z'
'x+1/2,y+1/2,z'
'-x+1/2,-y+1/2,-z'
'-x+1/2,y+1/2,-z'
'x+1/2,-y+1/2,z'
loop_
_atom_site_label
_atom_site_type_symbol
_atom_site_fract_x
_atom_site_fract_y
_atom_site_fract_z
_atom_site_occupancy
Li1 Li 0.1417 0.0000 0.1158 1
Te1 Te 0.0726 0.5000 0.8480 1
Te2 Te 0.1874 0.0000 0.5962 1
```

---

Most stable one: Q, least stable one: P.

---

## P
Computed, not measured: an optimized crystal structure of CdTcAs at the GGA-PBE level of DFT.

Results
Crystal system: tetragonal
V, Å³/atom: 18.77
Fermi-level density of states, states/eV/cell: 4.6

Structure (CIF):
```
data_CdTcAs
_cell_length_a 4.2940
_cell_length_b 4.2940
_cell_length_c 6.1075
_cell_angle_alpha 90.00
_cell_angle_beta 90.00
_cell_angle_gamma 90.00
_symmetry_space_group_name_H-M 'P 4/n m m'
_symmetry_Int_Tables_number 129
loop_
_symmetry_equiv_pos_as_xyz
'x,y,z'
'-x,-y,-z'
'-y+1/2,x,z'
'y+1/2,-x,-z'
'-x+1/2,-y+1/2,z'
'x+1/2,y+1/2,-z'
'y,-x+1/2,z'
'-y,x+1/2,-z'
'x+1/2,-y,-z'
'-x+1/2,y,z'
'-y,-x,-z'
'y,x,z'
'-x,y+1/2,-z'
'x,-y+1/2,z'
'y+1/2,x+1/2,-z'
'-y+1/2,-x+1/2,z'
loop_
_atom_site_label
_atom_site_type_symbol
_atom_site_fract_x
_atom_site_fract_y
_atom_site_fract_z
_atom_site_occupancy
Cd1 Cd 0.2500 0.2500 0.1654 1
Tc1 Tc 0.2500 0.7500 0.5000 1
As1 As 0.2500 0.2500 0.7197 1
```

---

## Q
Computed, not measured: an optimized crystal structure of CdTcAs at the GGA-PBE level of DFT.

Results
Crystal system: trigonal
V, Å³/atom: 18.70
Fermi-level density of states, states/eV/cell: 2.6

Structure (CIF):
```
data_CdTcAs
_cell_length_a 3.0803
_cell_length_b 3.0803
_cell_length_c 6.8267
_cell_angle_alpha 90.00
_cell_angle_beta 90.00
_cell_angle_gamma 120.00
_symmetry_space_group_name_H-M 'P 3 m 1'
_symmetry_Int_Tables_number 156
loop_
_symmetry_equiv_pos_as_xyz
'x,y,z'
'-y,x-y,z'
'-x+y,-x,z'
'-y,-x,z'
'-x+y,y,z'
'x,x-y,z'
loop_
_atom_site_label
_atom_site_type_symbol
_atom_site_fract_x
_atom_site_fract_y
_atom_site_fract_z
_atom_site_occupancy
Cd1 Cd 0.0000 0.0000 0.0000 1
Tc1 Tc 0.3333 0.6667 0.3410 1
As1 As 0.6667 0.3333 0.5903 1
```

---

Most stable one: P, least stable one: Q.

---

## P
Computed, not measured: an optimized crystal structure of NaC at the GGA-PBE level of DFT.

Results
Crystal system: cubic
V, Å³/atom: 33.59

Structure (CIF):
```
data_NaC
_cell_length_a 7.3868
_cell_length_b 7.3868
_cell_length_c 7.3868
_cell_angle_alpha 90.00
_cell_angle_beta 90.00
_cell_angle_gamma 90.00
_symmetry_space_group_name_H-M 'P m -3 n'
_symmetry_Int_Tables_number 223
_symmetry_space_group_name_Hall '-P 4n 2 3'
loop_
_atom_site_label
_atom_site_type_symbol
_atom_site_fract_x
_atom_site_fract_y
_atom_site_fract_z
_atom_site_occupancy
Na1 Na 0.0000 0.2500 0.5000 1
C1 C 0.0000 0.5000 0.2500 1
```

---

## Q
Computed, not measured: an optimized crystal structure of NaC at the GGA-PBE level of DFT.

Results
Crystal system: tetragonal
V, Å³/atom: 15.58
Fermi-level density of states, states/eV/cell: 4.1

Structure (CIF):
```
data_NaC
_cell_length_a 4.0051
_cell_length_b 4.0051
_cell_length_c 11.6551
_cell_angle_alpha 90.00
_cell_angle_beta 90.00
_cell_angle_gamma 90.00
_symmetry_space_group_name_H-M 'I 4/m m m'
_symmetry_Int_Tables_number 139
_symmetry_space_group_name_Hall '-I 4 2'
loop_
_atom_site_label
_atom_site_type_symbol
_atom_site_fract_x
_atom_site_fract_y
_atom_site_fract_z
_atom_site_occupancy
Na1 Na 0.0000 0.0000 0.0000 1
Na2 Na 0.0000 0.5000 0.2500 1
C1 C 0.0000 0.0000 0.3858 1
C2 C 0.0000 0.0000 0.5000 1
```

---

Most stable one: Q, least stable one: P.

---

## P
Computed, not measured: an optimized crystal structure of B5C7 at the GGA-PBE level of DFT.

Results
Crystal system: monoclinic
V, Å³/atom: 6.43
Fermi-level density of states, states/eV/cell: 3.2

Structure (CIF):
```
data_B5C7
_cell_length_a 8.5186
_cell_length_b 2.5414
_cell_length_c 8.2451
_cell_angle_alpha 90.00
_cell_angle_beta 120.24
_cell_angle_gamma 90.00
_symmetry_space_group_name_H-M 'C 1 m 1'
_symmetry_Int_Tables_number 8
loop_
_symmetry_equiv_pos_as_xyz
'x,y,z'
'x,-y,z'
'x+1/2,y+1/2,z'
'x+1/2,-y+1/2,z'
loop_
_atom_site_label
_atom_site_type_symbol
_atom_site_fract_x
_atom_site_fract_y
_atom_site_fract_z
_atom_site_occupancy
B1 B 0.0000 0.0000 0.0000 1
B2 B 0.0334 0.0000 0.4688 1
B3 B 0.2060 0.5000 0.8242 1
B4 B 0.3316 0.0000 0.1430 1
B5 B 0.4066 0.5000 0.7623 1
C1 C 0.0114 0.5000 0.1281 1
C2 C 0.0465 0.5000 0.6078 1
C3 C 0.1561 0.0000 0.9254 1
C4 C 0.1857 0.5000 0.3153 1
C5 C 0.2032 0.0000 0.4365 1
C6 C 0.3450 0.5000 0.2835 1
C7 C 0.3788 0.0000 0.6215 1
```

---

## Q
Computed, not measured: an optimized crystal structure of B5C7 at the GGA-PBE level of DFT.

Results
Crystal system: monoclinic
V, Å³/atom: 6.79
Fermi-level density of states, states/eV/cell: 0.5

Structure (CIF):
```
data_B5C7
_cell_length_a 4.7865
_cell_length_b 2.6110
_cell_length_c 6.5222
_cell_angle_alpha 90.00
_cell_angle_beta 91.13
_cell_angle_gamma 90.00
_symmetry_space_group_name_H-M 'P 1 m 1'
_symmetry_Int_Tables_number 6
loop_
_symmetry_equiv_pos_as_xyz
'x,y,z'
'x,-y,z'
loop_
_atom_site_label
_atom_site_type_symbol
_atom_site_fract_x
_atom_site_fract_y
_atom_site_fract_z
_atom_site_occupancy
B1 B 0.0000 0.0000 0.0000 1
B2 B 0.0435 0.0000 0.2603 1
B3 B 0.5706 0.0000 0.3590 1
B4 B 0.7729 0.5000 0.9718 1
B5 B 0.8194 0.5000 0.6395 1
C1 C 0.1424 0.5000 0.3674 1
C2 C 0.1596 0.5000 0.6017 1
C3 C 0.3143 0.0000 0.9236 1
C4 C 0.3160 0.0000 0.6842 1
C5 C 0.4566 0.5000 0.0125 1
C6 C 0.4694 0.5000 0.2487 1
C7 C 0.6331 0.0000 0.5988 1
```

---

Most stable one: P, least stable one: Q.